# 1
Entry from Alexandria via LeMat-Bulk: crystalline LiLuMgSc at its relaxed geometry (PBE-GGA).

Output
Formation enthalpy at 0 K (meV per atom): 95
M_tot (μB/f.u.): 0.66

Cell lengths 7.257, 7.257, 7.257 Å; angles 90.00, 90.00, 90.00 degrees
Space group F-43m (No. 216)
One atom of each set of equivalent atoms:
Li (0.000, 0.000, 0.000) x4
Lu (0.250, 0.250, 0.750) x4
Mg (0.000, 0.000, 0.500) x4
Sc (0.250, 0.250, 0.250) x4



# 2
Entry from Alexandria via LeMat-Bulk: crystalline CeSmCo2 at its relaxed geometry (PBE-GGA).

Output
E above lowest polymorph (meV/atom): 16
Formation enthalpy at 0 K (meV per atom): -180
M_tot (μB/f.u.): 0.00

Cell lengths 4.2643, 4.2643, 15.2272 Å; angles 90.00, 90.00, 120.00 degrees
Space group R-3m (No. 166, hexagonal axes)
One atom of each set of equivalent atoms:
Ce (0.0000, 0.0000, 0.0000) x3
Sm (0.0000, 0.0000, 0.5000) x3
Co (0.0000, 0.0000, 0.2930) x6



# 3
Entry from Alexandria via LeMat-Bulk: crystalline NaPdBr5 at its relaxed geometry (PBE-GGA).

Output
E above lowest polymorph (meV/atom): 13
Formation energy without anion corrections (eV/atom): -0.5213
M_tot (μB/f.u.): 0.00

Cell lengths 13.382, 7.298, 9.754 Å; angles 90.00, 103.83, 90.00 degrees
Space group C2/c (No. 15)
One atom of each set of equivalent atoms:
Na (0.000, 0.033, 0.250) x4
Pd (0.000, 0.500, 0.000) x4
Br (0.000, 0.384, 0.750) x4
Br (0.114, 0.229, 0.076) x8
Br (0.150, 0.277, 0.503) x8



# 4
Entry from Alexandria via LeMat-Bulk: crystalline PuBeAsO at its relaxed geometry (PBE-GGA).

Output
Formation energy without anion corrections (eV/atom): -1.5545
M_tot (μB/f.u.): 5.00

Cell lengths 3.847, 3.847, 8.597 Å; angles 90.00, 90.00, 90.00 degrees
Space group P4/nmm (No. 129, origin choice 2)
One atom of each set of equivalent atoms:
Pu (0.250, 0.250, 0.145) x2
Be (0.250, 0.750, 0.500) x2
As (0.250, 0.250, 0.656) x2
O (0.250, 0.750, 0.000) x2



# 5
Entry from Alexandria via LeMat-Bulk: crystalline CePmPuAl at its relaxed geometry (PBE-GGA).

Output
Formation enthalpy at 0 K (meV per atom): 5
M_tot (μB/f.u.): 8.12

Cell lengths 7.428, 7.428, 7.428 Å; angles 90.00, 90.00, 90.00 degrees
Space group F-43m (No. 216)
One atom of each set of equivalent atoms:
Ce (0.000, 0.000, 0.000) x4
Pm (0.250, 0.250, 0.750) x4
Pu (0.250, 0.250, 0.250) x4
Al (0.000, 0.000, 0.500) x4



# 6
Entry from Alexandria via LeMat-Bulk: crystalline Pm5DyTl2 at its relaxed geometry (PBE-GGA).

Output
E above lowest polymorph (meV/atom): 44
Formation enthalpy at 0 K (meV per atom): -65
M_tot (μB/f.u.): 0.00

Cell lengths 5.5366, 5.5366, 20.3453 Å; angles 90.00, 90.00, 120.00 degrees
Space group P6_3/mmc (No. 194)
One atom of each set of equivalent atoms:
Pm (0.0000, 0.0000, 0.1621) x4
Pm (0.3333, 0.6667, 0.0616) x4
Pm (0.3333, 0.6667, 0.2500) x2
Dy (0.3333, 0.6667, 0.7500) x2
Tl (0.3333, 0.6667, 0.5963) x4



# 7
Entry from Alexandria via LeMat-Bulk: crystalline SrAg6Sn2 at its relaxed geometry (PBE-GGA).

Output
Formation enthalpy at 0 K (meV per atom): -155
M_tot (μB/f.u.): 0.00

Cell lengths 4.767, 4.767, 9.023 Å; angles 90.00, 90.00, 90.00 degrees
Space group P4/mmm (No. 123)
One atom of each set of equivalent atoms:
Sr (0.000, 0.000, 0.000) x1
Ag (0.000, 0.000, 0.500) x1
Ag (0.000, 0.500, 0.319) x4
Ag (0.500, 0.500, 0.500) x1
Sn (0.500, 0.500, 0.158) x2



# 8
Entry from Alexandria via LeMat-Bulk: crystalline TcSn2Mo at its relaxed geometry (PBE-GGA).

Output
E above lowest polymorph (meV/atom): 186
Formation enthalpy at 0 K (meV per atom): 178
M_tot (μB/f.u.): 0.00

Cell lengths 5.404, 5.535, 5.582 Å; angles 100.99, 100.20, 102.80 degrees
Space group P1 (No. 1)
One atom of each set of equivalent atoms:
Tc (0.000, 0.000, 0.000) x1
Tc (0.255, 0.318, 0.803) x1
Sn (0.432, 0.851, 0.769) x1
Sn (0.470, 0.286, 0.328) x1
Sn (0.797, 0.444, 0.892) x1
Sn (0.850, 0.880, 0.446) x1
Mo (0.017, 0.411, 0.417) x1
Mo (0.277, 0.728, 0.213) x1



For each record above, in turn, the calculated electronic total energy values are -3.496, -6.396, -2.646, -8.471, -7.184, -4.201, -3.132, -7.122 eV/atom.